(1)
{"formula": "CrBRh4", "functional": "PBE-GGA", "state": "relaxed", "lattice": [[6.390, -2.375, 0.000], [6.390, 2.375, 0.000], [-1.710, 0.000, 5.194]], "species": ["Cr", "Cr", "B", "B", "Rh", "Rh", "Rh", "Rh", "Rh", "Rh", "Rh", "Rh"], "frac_coords": [[0.104, 0.896, 0.750], [0.896, 0.104, 0.250], [0.000, 0.500, 0.000], [0.500, 0.000, 0.500], [0.084, 0.292, 0.631], [0.292, 0.084, 0.131], [0.300, 0.527, 0.047], [0.473, 0.700, 0.453], [0.527, 0.300, 0.547], [0.700, 0.473, 0.953], [0.708, 0.916, 0.869], [0.916, 0.708, 0.369]], "formation_energy_mev_per_atom": -71, "sg": "C2/c"}

---

(2)
{"formula": "Cr3B12Rh25", "functional": "PBE-GGA", "state": "relaxed", "lattice": [[4.813, 0.000, 0.000], [-0.009, 7.503, 0.000], [-0.020, -0.030, 12.987]], "species": ["Cr", "Cr", "Cr", "B", "B", "B", "B", "B", "B", "B", "B", "B", "B", "B", "B", "Rh", "Rh", "Rh", "Rh", "Rh", "Rh", "Rh", "Rh", "Rh", "Rh", "Rh", "Rh", "Rh", "Rh", "Rh", "Rh", "Rh", "Rh", "Rh", "Rh", "Rh", "Rh", "Rh", "Rh", "Rh"], "frac_coords": [[0.000, 0.000, 0.000], [0.001, 0.181, 0.818], [0.007, 0.687, 0.315], [0.223, 0.187, 0.464], [0.228, 0.903, 0.178], [0.228, 0.972, 0.680], [0.229, 0.690, 0.964], [0.230, 0.403, 0.681], [0.231, 0.474, 0.180], [0.712, 0.908, 0.367], [0.716, 0.187, 0.087], [0.716, 0.407, 0.867], [0.716, 0.463, 0.367], [0.721, 0.965, 0.867], [0.724, 0.686, 0.585], [0.001, 0.689, 0.107], [0.307, 0.880, 0.839], [0.315, 0.186, 0.148], [0.315, 0.999, 0.334], [0.316, 0.375, 0.335], [0.317, 0.501, 0.837], [0.328, 0.688, 0.652], [0.475, 0.002, 0.546], [0.476, 0.372, 0.547], [0.480, 0.502, 0.046], [0.483, 0.185, 0.941], [0.483, 0.686, 0.440], [0.495, 0.187, 0.736], [0.496, 0.879, 0.044], [0.499, 0.690, 0.235], [0.825, 0.185, 0.397], [0.825, 0.693, 0.900], [0.826, 0.879, 0.713], [0.826, 0.999, 0.209], [0.827, 0.380, 0.213], [0.830, 0.495, 0.715], [0.972, 0.867, 0.495], [0.973, 0.507, 0.496], [0.975, 0.353, 0.996], [0.994, 0.187, 0.610]], "formation_energy_mev_per_atom": -257, "sg": "P1"}

---

(3)
{"formula": "Cr2BRh8", "functional": "PBE-GGA", "state": "relaxed", "lattice": [[7.237, -2.046, 0.000], [7.237, 2.046, 0.000], [-1.804, 0.000, 4.967]], "species": ["Cr", "Cr", "B", "Rh", "Rh", "Rh", "Rh", "Rh", "Rh", "Rh", "Rh"], "frac_coords": [[0.179, 0.179, 0.217], [0.821, 0.821, 0.783], [0.500, 0.500, 0.500], [0.021, 0.021, 0.270], [0.213, 0.213, 0.796], [0.356, 0.356, 0.549], [0.400, 0.400, 0.087], [0.600, 0.600, 0.913], [0.644, 0.644, 0.451], [0.787, 0.787, 0.204], [0.979, 0.979, 0.730]], "formation_energy_mev_per_atom": -25, "sg": "C2/m"}

---

(4)
{"formula": "CrB2Rh", "functional": "PBE-GGA", "state": "relaxed", "lattice": [[4.414, 0.000, 0.000], [0.000, 4.414, 0.000], [0.000, 0.000, 10.181]], "species": ["Cr", "Cr", "Cr", "Cr", "B", "B", "B", "B", "B", "B", "B", "B", "Rh", "Rh", "Rh", "Rh"], "frac_coords": [[0.000, 0.000, 0.000], [0.000, 0.500, 0.250], [0.500, 0.000, 0.750], [0.500, 0.500, 0.500], [0.244, 0.250, 0.625], [0.250, 0.744, 0.875], [0.250, 0.756, 0.375], [0.256, 0.250, 0.125], [0.744, 0.750, 0.125], [0.750, 0.244, 0.375], [0.750, 0.256, 0.875], [0.756, 0.750, 0.625], [0.000, 0.000, 0.500], [0.000, 0.500, 0.750], [0.500, 0.000, 0.250], [0.500, 0.500, 0.000]], "formation_energy_mev_per_atom": 653, "polymorph_energy_mev_per_atom": 534, "sg": "I-42d"}

---

(5)
{"formula": "CrB2RuRh", "functional": "PBE-GGA", "state": "relaxed", "lattice": [[3.944, 0.000, 0.000], [0.000, 3.944, 0.000], [0.000, 0.000, 4.522]], "species": ["Cr", "B", "B", "Ru", "Rh"], "frac_coords": [[0.000, 0.000, 0.000], [0.000, 0.500, 0.500], [0.500, 0.000, 0.500], [0.000, 0.000, 0.500], [0.500, 0.500, 0.000]], "formation_energy_mev_per_atom": 1293, "sg": "P4/mmm"}

---

(6)
{"formula": "CrB2RhS", "functional": "PBE-GGA", "state": "relaxed", "lattice": [[3.840, 0.000, 0.000], [0.000, 3.840, 0.000], [0.000, 0.000, 4.039]], "species": ["Cr", "B", "B", "Rh", "S"], "frac_coords": [[0.000, 0.000, 0.000], [0.000, 0.500, 0.500], [0.500, 0.000, 0.500], [0.500, 0.500, 0.000], [0.000, 0.000, 0.500]], "raw_formation_energy_ev_per_atom": 1.342, "sg": "P4/mmm"}

---

Number 1: volume 13.136 A^3/atom. Number 2: volume 11.724 A^3/atom. Number 3: volume 13.374 A^3/atom. Number 4: volume 12.396 A^3/atom. Number 5: volume 14.066 A^3/atom. Number 6: volume 11.915 A^3/atom.